# Hf3AgCl | the Alexandria database | PBE | relaxed
# excess energy over the best structure of this formula in the dataset: 0 meV per atom
# E_form (uncorrected): 0.26 eV per atom
# magnetic moment: 0.00 μB/cell
# V: 104.9 Å³/cell
data_Hf3AgCl
_chemical_formula_sum 'Hf3 Ag1 Cl1'
_cell_length_a 4.7157
_cell_length_b 4.7157
_cell_length_c 4.7157
_cell_angle_alpha 90.00
_cell_angle_beta 90.00
_cell_angle_gamma 90.00
_symmetry_space_group_name_H-M 'P 1'
_symmetry_Int_Tables_number 1
loop_
_symmetry_equiv_pos_as_xyz
'x,y,z'
loop_
_atom_site_label
_atom_site_type_symbol
_atom_site_fract_x
_atom_site_fract_y
_atom_site_fract_z
_atom_site_occupancy
Cl1 Cl 0.0000 0.0000 0.0000 1
Hf1 Hf 0.0000 0.5000 0.0000 1
Hf2 Hf 0.5000 0.0000 0.0000 1
Hf3 Hf 0.0000 0.0000 0.5000 1
Ag1 Ag 0.5000 0.5000 0.5000 1


# HfAgCl5 | the Alexandria database | PBE | relaxed
# E_form (uncorrected): -1.38 eV per atom
# magnetic moment: 0.00 μB/cell
# V: 426.9 Å³/cell
data_HfAgCl5
_chemical_formula_sum 'Hf2 Ag2 Cl10'
_cell_length_a 6.6343
_cell_length_b 7.7973
_cell_length_c 9.6299
_cell_angle_alpha 106.91
_cell_angle_beta 90.00
_cell_angle_gamma 115.18
_symmetry_space_group_name_H-M 'P 1'
_symmetry_Int_Tables_number 1
loop_
_symmetry_equiv_pos_as_xyz
'x,y,z'
loop_
_atom_site_label
_atom_site_type_symbol
_atom_site_fract_x
_atom_site_fract_y
_atom_site_fract_z
_atom_site_occupancy
Cl1 Cl 0.1540 0.0000 0.2500 1
Cl2 Cl 0.3456 0.2850 0.6221 1
Cl3 Cl 0.0607 0.7150 0.8779 1
Cl4 Cl 0.6132 0.7744 0.0122 1
Cl5 Cl 0.9393 0.2850 0.1221 1
Cl6 Cl 0.6544 0.7150 0.3779 1
Cl7 Cl 0.1613 0.7744 0.5122 1
Cl8 Cl 0.8460 0.0000 0.7500 1
Cl9 Cl 0.8387 0.2256 0.4878 1
Cl10 Cl 0.3868 0.2256 0.9878 1
Hf1 Hf 0.0000 0.0000 0.5000 1
Hf2 Hf 0.0000 0.0000 0.0000 1
Ag1 Ag 0.5652 0.0000 0.2500 1
Ag2 Ag 0.4348 0.0000 0.7500 1


# HfAgCl3 | the Alexandria database | PBE | relaxed
# excess energy over the best structure of this formula in the dataset: 0 meV per atom
# E_form (uncorrected): -0.72 eV per atom
# magnetic moment: 0.00 μB/cell
# V: 122.7 Å³/cell
data_HfAgCl3
_chemical_formula_sum 'Hf1 Ag1 Cl3'
_cell_length_a 4.9685
_cell_length_b 4.9685
_cell_length_c 4.9685
_cell_angle_alpha 90.00
_cell_angle_beta 90.00
_cell_angle_gamma 90.00
_symmetry_space_group_name_H-M 'P 1'
_symmetry_Int_Tables_number 1
loop_
_symmetry_equiv_pos_as_xyz
'x,y,z'
loop_
_atom_site_label
_atom_site_type_symbol
_atom_site_fract_x
_atom_site_fract_y
_atom_site_fract_z
_atom_site_occupancy
Hf1 Hf 0.0000 0.0000 0.0000 1
Cl1 Cl 0.5000 0.0000 0.0000 1
Cl2 Cl 0.0000 0.0000 0.5000 1
Cl3 Cl 0.0000 0.5000 0.0000 1
Ag1 Ag 0.5000 0.5000 0.5000 1


# HfAg2Cl8 | the Alexandria database | PBE | relaxed
# E_form (uncorrected): -0.79 eV per atom
# magnetic moment: 0.00 μB/cell
# V: 292.6 Å³/cell
data_HfAg2Cl8
_chemical_formula_sum 'Hf1 Ag2 Cl8'
_cell_length_a 5.0469
_cell_length_b 8.0352
_cell_length_c 7.6452
_cell_angle_alpha 91.40
_cell_angle_beta 109.27
_cell_angle_gamma 90.00
_symmetry_space_group_name_H-M 'P 1'
_symmetry_Int_Tables_number 1
loop_
_symmetry_equiv_pos_as_xyz
'x,y,z'
loop_
_atom_site_label
_atom_site_type_symbol
_atom_site_fract_x
_atom_site_fract_y
_atom_site_fract_z
_atom_site_occupancy
Cl1 Cl 0.7262 0.6179 0.4524 1
Cl2 Cl 0.3276 0.9674 0.6553 1
Cl3 Cl 0.4882 0.7009 0.9765 1
Cl4 Cl 0.6724 0.0326 0.3447 1
Cl5 Cl 0.9263 0.1189 0.8527 1
Cl6 Cl 0.0737 0.8811 0.1473 1
Cl7 Cl 0.5118 0.2991 0.0235 1
Cl8 Cl 0.2738 0.3821 0.5476 1
Ag1 Ag 0.2109 0.6752 0.4218 1
Ag2 Ag 0.7891 0.3248 0.5782 1
Hf1 Hf 0.5000 0.0000 0.0000 1


# HfAg2Cl6 | the Alexandria database | PBE | relaxed
# E_form (uncorrected): -1.21 eV per atom
# magnetic moment: 0.00 μB/cell
# V: 494.2 Å³/cell
data_HfAg2Cl6
_chemical_formula_sum 'Hf2 Ag4 Cl12'
_cell_length_a 6.9715
_cell_length_b 6.6268
_cell_length_c 10.7149
_cell_angle_alpha 90.00
_cell_angle_beta 86.69
_cell_angle_gamma 90.00
_symmetry_space_group_name_H-M 'P 1'
_symmetry_Int_Tables_number 1
loop_
_symmetry_equiv_pos_as_xyz
'x,y,z'
loop_
_atom_site_label
_atom_site_type_symbol
_atom_site_fract_x
_atom_site_fract_y
_atom_site_fract_z
_atom_site_occupancy
Ag1 Ag 0.4800 0.9978 0.7158 1
Ag2 Ag 0.0200 0.4978 0.7842 1
Ag3 Ag 0.9800 0.5022 0.2158 1
Ag4 Ag 0.5200 0.0022 0.2842 1
Cl1 Cl 0.8913 0.8718 0.2960 1
Cl2 Cl 0.1382 0.2987 0.3956 1
Cl3 Cl 0.8618 0.7013 0.6044 1
Cl4 Cl 0.3084 0.8222 0.4647 1
Cl5 Cl 0.6382 0.2013 0.8956 1
Cl6 Cl 0.8084 0.6778 0.9647 1
Cl7 Cl 0.6916 0.1778 0.5353 1
Cl8 Cl 0.1916 0.3222 0.0353 1
Cl9 Cl 0.1087 0.1282 0.7040 1
Cl10 Cl 0.3913 0.6282 0.7960 1
Cl11 Cl 0.3618 0.7987 0.1044 1
Cl12 Cl 0.6087 0.3718 0.2040 1
Hf1 Hf 0.0000 0.0000 0.5000 1
Hf2 Hf 0.5000 0.5000 0.0000 1


# Hf2AgICl | the Alexandria database | PBE | relaxed
# E_form (uncorrected): 0.98 eV per atom
# magnetic moment: 0.00 μB/cell
# V: 153.5 Å³/cell
data_Hf2AgICl
_chemical_formula_sum 'Hf2 Ag1 I1 Cl1'
_cell_length_a 5.2387
_cell_length_b 5.5919
_cell_length_c 5.2387
_cell_angle_alpha 90.00
_cell_angle_beta 90.00
_cell_angle_gamma 90.00
_symmetry_space_group_name_H-M 'P 1'
_symmetry_Int_Tables_number 1
loop_
_symmetry_equiv_pos_as_xyz
'x,y,z'
loop_
_atom_site_label
_atom_site_type_symbol
_atom_site_fract_x
_atom_site_fract_y
_atom_site_fract_z
_atom_site_occupancy
Hf1 Hf 0.0000 0.0000 0.5000 1
Hf2 Hf 0.5000 0.0000 0.0000 1
Ag1 Ag 0.0000 0.0000 0.0000 1
Cl1 Cl 0.5000 0.5000 0.5000 1
I1 I 0.0000 0.5000 0.0000 1


# HfAg3I2Cl6 | the Alexandria database | PBE | relaxed
# E_form (uncorrected): -0.91 eV per atom
# magnetic moment: 0.00 μB/cell
# V: 349.1 Å³/cell
data_HfAg3I2Cl6
_chemical_formula_sum 'Hf1 Ag3 I2 Cl6'
_cell_length_a 6.2614
_cell_length_b 7.8388
_cell_length_c 8.1426
_cell_angle_alpha 118.77
_cell_angle_beta 94.15
_cell_angle_gamma 90.00
_symmetry_space_group_name_H-M 'P 1'
_symmetry_Int_Tables_number 1
loop_
_symmetry_equiv_pos_as_xyz
'x,y,z'
loop_
_atom_site_label
_atom_site_type_symbol
_atom_site_fract_x
_atom_site_fract_y
_atom_site_fract_z
_atom_site_occupancy
Ag1 Ag 0.0000 0.5000 0.0000 1
Ag2 Ag 0.5000 0.0000 0.5000 1
Ag3 Ag 0.5000 0.5000 0.5000 1
Hf1 Hf 0.5000 0.0000 0.0000 1
Cl1 Cl 0.2764 0.1352 0.2705 1
Cl2 Cl 0.7280 0.3017 0.1533 1
Cl3 Cl 0.7236 0.8648 0.7295 1
Cl4 Cl 0.2720 0.1484 0.8467 1
Cl5 Cl 0.2720 0.6983 0.8467 1
Cl6 Cl 0.7280 0.8516 0.1533 1
I1 I 0.7874 0.3202 0.6403 1
I2 I 0.2126 0.6798 0.3597 1


# HfInAgCl6 | the Alexandria database | PBE | relaxed
# E_form (uncorrected): -1.32 eV per atom
# magnetic moment: 0.00 μB/cell
# V: 561.6 Å³/cell
data_HfInAgCl6
_chemical_formula_sum 'Hf2 In2 Ag2 Cl12'
_cell_length_a 6.9638
_cell_length_b 6.9638
_cell_length_c 13.3716
_cell_angle_alpha 90.00
_cell_angle_beta 90.00
_cell_angle_gamma 120.00
_symmetry_space_group_name_H-M 'P 1'
_symmetry_Int_Tables_number 1
loop_
_symmetry_equiv_pos_as_xyz
'x,y,z'
loop_
_atom_site_label
_atom_site_type_symbol
_atom_site_fract_x
_atom_site_fract_y
_atom_site_fract_z
_atom_site_occupancy
Cl1 Cl 0.6471 0.0354 0.3574 1
Cl2 Cl 0.0354 0.6471 0.8574 1
Cl3 Cl 0.6117 0.9646 0.8574 1
Cl4 Cl 0.3883 0.0354 0.1426 1
Cl5 Cl 0.9646 0.3529 0.1426 1
Cl6 Cl 0.6117 0.6471 0.6426 1
Cl7 Cl 0.3529 0.9646 0.6426 1
Cl8 Cl 0.6471 0.6117 0.1426 1
Cl9 Cl 0.0354 0.3883 0.6426 1
Cl10 Cl 0.3529 0.3883 0.8574 1
Cl11 Cl 0.3883 0.3529 0.3574 1
Cl12 Cl 0.9646 0.6117 0.3574 1
Hf1 Hf 0.3333 0.6667 0.7500 1
Hf2 Hf 0.6667 0.3333 0.2500 1
Ag1 Ag 0.6667 0.3333 0.7500 1
Ag2 Ag 0.3333 0.6667 0.2500 1
In1 In 0.0000 0.0000 0.0000 1
In2 In 0.0000 0.0000 0.5000 1


# KHfAgCl6 | the Alexandria database | PBE | relaxed
# E_form (uncorrected): -1.59 eV per atom
# magnetic moment: 0.00 μB/cell
# V: 560.3 Å³/cell
data_KHfAgCl6
_chemical_formula_sum 'K2 Hf2 Ag2 Cl12'
_cell_length_a 6.9546
_cell_length_b 6.9546
_cell_length_c 13.3760
_cell_angle_alpha 90.00
_cell_angle_beta 90.00
_cell_angle_gamma 120.00
_symmetry_space_group_name_H-M 'P 1'
_symmetry_Int_Tables_number 1
loop_
_symmetry_equiv_pos_as_xyz
'x,y,z'
loop_
_atom_site_label
_atom_site_type_symbol
_atom_site_fract_x
_atom_site_fract_y
_atom_site_fract_z
_atom_site_occupancy
Cl1 Cl 0.6126 0.6485 0.6426 1
Cl2 Cl 0.3874 0.3515 0.3574 1
Cl3 Cl 0.0359 0.6485 0.8574 1
Cl4 Cl 0.3874 0.0359 0.1426 1
Cl5 Cl 0.6485 0.6126 0.1426 1
Cl6 Cl 0.0359 0.3874 0.6426 1
Cl7 Cl 0.9641 0.6126 0.3574 1
Cl8 Cl 0.3515 0.3874 0.8574 1
Cl9 Cl 0.3515 0.9641 0.6426 1
Cl10 Cl 0.6126 0.9641 0.8574 1
Cl11 Cl 0.9641 0.3515 0.1426 1
Cl12 Cl 0.6485 0.0359 0.3574 1
Hf1 Hf 0.3333 0.6667 0.7500 1
Hf2 Hf 0.6667 0.3333 0.2500 1
K1 K 0.0000 0.0000 0.5000 1
K2 K 0.0000 0.0000 0.0000 1
Ag1 Ag 0.3333 0.6667 0.2500 1
Ag2 Ag 0.6667 0.3333 0.7500 1


# HfAg2NCl | the Alexandria database | PBE | relaxed
# E_form (uncorrected): 0.47 eV per atom
# magnetic moment: 0.00 μB/cell
# V: 125.1 Å³/cell
data_HfAg2NCl
_chemical_formula_sum 'Hf1 Ag2 N1 Cl1'
_cell_length_a 5.6349
_cell_length_b 3.9389
_cell_length_c 5.6349
_cell_angle_alpha 90.00
_cell_angle_beta 90.00
_cell_angle_gamma 90.00
_symmetry_space_group_name_H-M 'P 1'
_symmetry_Int_Tables_number 1
loop_
_symmetry_equiv_pos_as_xyz
'x,y,z'
loop_
_atom_site_label
_atom_site_type_symbol
_atom_site_fract_x
_atom_site_fract_y
_atom_site_fract_z
_atom_site_occupancy
Cl1 Cl 0.5000 0.5000 0.5000 1
N1 N 0.0000 0.5000 0.0000 1
Ag1 Ag 0.5000 0.0000 0.0000 1
Ag2 Ag 0.0000 0.0000 0.5000 1
Hf1 Hf 0.0000 0.0000 0.0000 1


# NaHfAgCl6 | the Alexandria database | PBE | relaxed
# E_form (uncorrected): -1.53 eV per atom
# magnetic moment: 0.00 μB/cell
# V: 489.2 Å³/cell
data_NaHfAgCl6
_chemical_formula_sum 'Na2 Hf2 Ag2 Cl12'
_cell_length_a 6.7869
_cell_length_b 6.7869
_cell_length_c 12.2643
_cell_angle_alpha 90.00
_cell_angle_beta 90.00
_cell_angle_gamma 120.00
_symmetry_space_group_name_H-M 'P 1'
_symmetry_Int_Tables_number 1
loop_
_symmetry_equiv_pos_as_xyz
'x,y,z'
loop_
_atom_site_label
_atom_site_type_symbol
_atom_site_fract_x
_atom_site_fract_y
_atom_site_fract_z
_atom_site_occupancy
Cl1 Cl 0.3715 0.3351 0.3670 1
Cl2 Cl 0.9636 0.3351 0.1330 1
Cl3 Cl 0.6649 0.6285 0.1330 1
Cl4 Cl 0.6285 0.6649 0.6330 1
Cl5 Cl 0.3715 0.0364 0.1330 1
Cl6 Cl 0.3351 0.3715 0.8670 1
Cl7 Cl 0.9636 0.6285 0.3670 1
Cl8 Cl 0.6285 0.9636 0.8670 1
Cl9 Cl 0.0364 0.3715 0.6330 1
Cl10 Cl 0.3351 0.9636 0.6330 1
Cl11 Cl 0.0364 0.6649 0.8670 1
Cl12 Cl 0.6649 0.0364 0.3670 1
Ag1 Ag 0.3333 0.6667 0.2500 1
Ag2 Ag 0.6667 0.3333 0.7500 1
Na1 Na 0.0000 0.0000 0.0000 1
Na2 Na 0.0000 0.0000 0.5000 1
Hf1 Hf 0.6667 0.3333 0.2500 1
Hf2 Hf 0.3333 0.6667 0.7500 1